{"formula": "ZnFe2Os", "functional": "SCAN", "state": "PBEsol geometry", "delta_e_f_kj_per_mol_atoms": 6.66, "lattice": [[-2.589, -1.665, -0.561], [2.242, -3.209, -0.821], [-0.139, -1.081, 3.848]], "species": ["Fe", "Os", "Zn", "Fe"], "frac_coords": [[0.000, 0.500, 0.000], [0.500, 0.500, 0.500], [0.500, 0.000, 0.000], [0.000, 0.000, 0.500]]}

***

{"formula": "La2PSe", "functional": "SCAN", "state": "PBEsol geometry", "e_form_raw_mev_per_atom": -2060.7, "lattice": [[4.239, 0.000, 0.000], [0.000, 4.239, 0.000], [0.000, 0.000, 5.979]], "species": ["La", "P", "La", "Se"], "frac_coords": [[0.500, 0.500, 0.000], [0.000, 0.000, 0.000], [0.000, 0.000, 0.500], [0.500, 0.500, 0.500]]}

***

{"formula": "Tl3CdO", "functional": "SCAN", "state": "PBEsol geometry", "e_form_raw_mev_per_atom": -78.3, "lattice": [[-2.786, -3.905, -1.415], [3.315, -1.064, -3.591], [2.503, -2.939, 3.180]], "species": ["Tl", "Tl", "Tl", "O", "Cd"], "frac_coords": [[0.500, 0.000, 0.000], [0.000, 0.000, 0.500], [0.000, 0.500, 0.000], [0.000, 0.000, 0.000], [0.500, 0.500, 0.500]]}

***

{"formula": "YTaZn2", "functional": "SCAN", "state": "PBEsol geometry", "delta_e_f_kj_per_mol_atoms": -0.54, "lattice": [[3.010, 0.000, 0.014], [0.000, 4.861, 0.000], [-0.023, 0.000, 4.861]], "species": ["Zn", "Ta", "Zn", "Y"], "frac_coords": [[0.875, 0.000, 0.876], [0.375, 0.000, 0.376], [0.875, 0.500, 0.374], [0.375, 0.500, 0.874]]}

***

{"formula": "MnOs3N", "functional": "SCAN", "state": "PBEsol geometry", "e_form_raw_mev_per_atom": 3040.2, "lattice": [[-0.171, -2.670, -3.411], [4.312, 0.218, -0.387], [0.410, -3.408, 2.647]], "species": ["Os", "Os", "N", "Os", "Mn"], "frac_coords": [[0.500, 0.000, 0.000], [0.000, 0.000, 0.500], [0.500, 0.500, 0.500], [0.000, 0.500, 0.000], [0.000, 0.000, 0.000]]}

***

{"formula": "Cs2NaCoF6", "functional": "SCAN", "state": "PBEsol geometry", "e_form_raw_mev_per_atom": -2782.0, "lattice": [[6.120, 0.000, 0.000], [3.060, 5.300, 0.000], [3.060, 1.767, 9.914]], "species": ["F", "F", "F", "Cs", "F", "F", "Co", "F", "Na", "F", "Cs", "Cs", "F", "F", "F", "Na", "Co", "F", "Cs", "F"], "frac_coords": [[0.397, 0.818, 0.389], [0.397, 0.397, 0.389], [0.747, 0.180, 0.894], [0.128, 0.128, 0.617], [0.818, 0.397, 0.389], [0.603, 0.182, 0.611], [0.000, 0.000, 0.000], [0.820, 0.820, 0.106], [0.596, 0.596, 0.211], [0.603, 0.603, 0.611], [0.717, 0.717, 0.849], [0.872, 0.872, 0.383], [0.180, 0.747, 0.894], [0.182, 0.603, 0.611], [0.820, 0.253, 0.106], [0.404, 0.404, 0.789], [0.500, 0.500, 0.500], [0.180, 0.180, 0.894], [0.283, 0.283, 0.151], [0.253, 0.820, 0.106]]}

***

{"formula": "As2CBrF", "functional": "SCAN", "state": "PBEsol geometry", "e_form_raw_mev_per_atom": 941.6, "lattice": [[4.271, 0.000, 0.000], [0.000, 4.271, 0.000], [0.000, 0.000, 4.603]], "species": ["Br", "C", "As", "As", "F"], "frac_coords": [[0.000, 0.000, 0.500], [0.000, 0.000, 0.000], [0.500, 0.000, 0.000], [0.000, 0.500, 0.000], [0.500, 0.500, 0.500]]}

***

{"formula": "Li2MgSi", "functional": "SCAN", "state": "PBEsol geometry", "e_form_raw_mev_per_atom": -267.0, "lattice": [[6.310, 0.000, 0.000], [0.000, 6.310, 0.000], [0.000, 0.000, 6.310]], "species": ["Li", "Mg", "Li", "Mg", "Si", "Li", "Li", "Li", "Mg", "Si", "Mg", "Si", "Li", "Li", "Li", "Si"], "frac_coords": [[0.727, 0.727, 0.727], [0.500, 0.000, 0.000], [0.500, 0.000, 0.500], [0.000, 0.500, 0.000], [0.746, 0.254, 0.746], [0.273, 0.273, 0.727], [0.727, 0.273, 0.273], [0.500, 0.500, 0.500], [0.000, 0.000, 0.000], [0.746, 0.746, 0.254], [0.000, 0.000, 0.500], [0.254, 0.254, 0.254], [0.273, 0.727, 0.273], [0.000, 0.500, 0.500], [0.500, 0.500, 0.000], [0.254, 0.746, 0.746]]}

***

{"formula": "Co4ReW", "functional": "SCAN", "state": "PBEsol geometry", "delta_e_f_kj_per_mol_atoms": 15.76, "lattice": [[4.595, 0.000, 0.000], [2.298, 3.980, 0.000], [2.298, 1.327, 3.752]], "species": ["Co", "W", "Co", "Re", "Co", "Co"], "frac_coords": [[0.375, 0.375, 0.375], [0.000, 0.000, 0.000], [0.375, 0.874, 0.375], [0.750, 0.750, 0.750], [0.874, 0.375, 0.375], [0.375, 0.375, 0.874]]}

***

{"formula": "Sb3Mo", "functional": "SCAN", "state": "PBEsol geometry", "e_form_raw_mev_per_atom": 707.9, "lattice": [[3.467, 0.000, 0.000], [0.000, 5.013, 0.000], [0.000, 0.000, 5.013]], "species": ["Sb", "Sb", "Mo", "Sb"], "frac_coords": [[0.500, 0.000, 0.500], [0.500, 0.500, 0.000], [0.000, 0.000, 0.000], [0.000, 0.500, 0.500]]}

***

{"formula": "Mg3Zr2", "functional": "SCAN", "state": "PBEsol geometry", "delta_e_f_kj_per_mol_atoms": 40.61, "lattice": [[4.881, 0.000, 0.000], [-2.441, 4.227, 0.000], [0.000, 0.000, 6.132]], "species": ["Mg", "Zr", "Zr", "Mg", "Mg"], "frac_coords": [[0.000, 0.000, 0.000], [0.333, 0.667, 0.869], [0.667, 0.333, 0.131], [0.333, 0.667, 0.352], [0.667, 0.333, 0.648]]}

***

{"formula": "MnTe3Pt", "functional": "SCAN", "state": "PBEsol geometry", "e_form_raw_mev_per_atom": 372.1, "lattice": [[5.243, 0.000, 0.000], [0.000, 5.243, 0.000], [0.000, 0.000, 5.243]], "species": ["Pt", "Mn", "Te", "Te", "Te"], "frac_coords": [[0.000, 0.000, 0.000], [0.500, 0.500, 0.500], [0.000, 0.000, 0.500], [0.000, 0.500, 0.000], [0.500, 0.000, 0.000]]}

***

{"formula": "RbSb3Se5", "functional": "SCAN", "state": "PBEsol geometry", "e_form_raw_mev_per_atom": -479.3, "lattice": [[8.537, 0.111, 0.000], [-1.060, 9.495, 0.000], [0.000, 0.000, 12.811]], "species": ["Se", "Se", "Sb", "Se", "Se", "Sb", "Rb", "Sb", "Se", "Se", "Se", "Se", "Se", "Sb", "Sb", "Se", "Rb", "Se", "Se", "Sb", "Rb", "Sb", "Rb", "Se", "Se", "Se", "Sb", "Sb", "Sb", "Sb", "Se", "Sb", "Se", "Se", "Se", "Se"], "frac_coords": [[0.141, 0.966, 0.810], [0.789, 0.600, 0.409], [0.104, 0.375, 0.398], [0.641, 0.466, 0.690], [0.815, 0.213, 0.483], [0.604, 0.875, 0.102], [0.873, 0.199, 0.750], [0.503, 0.323, 0.537], [0.747, 0.644, 0.125], [0.211, 0.400, 0.591], [0.359, 0.534, 0.310], [0.247, 0.144, 0.375], [0.041, 0.411, 0.144], [0.327, 0.452, 0.066], [0.827, 0.952, 0.434], [0.315, 0.713, 0.017], [0.627, 0.301, 0.250], [0.459, 0.089, 0.644], [0.959, 0.589, 0.856], [0.673, 0.548, 0.934], [0.127, 0.801, 0.250], [0.896, 0.625, 0.602], [0.373, 0.699, 0.750], [0.289, 0.100, 0.091], [0.685, 0.287, 0.983], [0.185, 0.787, 0.517], [0.396, 0.125, 0.898], [0.003, 0.823, 0.963], [0.173, 0.048, 0.566], [0.997, 0.177, 0.037], [0.541, 0.911, 0.356], [0.497, 0.677, 0.463], [0.753, 0.856, 0.625], [0.253, 0.356, 0.875], [0.859, 0.034, 0.190], [0.711, 0.900, 0.909]]}

***

{"formula": "Mg8Pb", "functional": "SCAN", "state": "PBEsol geometry", "delta_e_f_kj_per_mol_atoms": -5.86, "lattice": [[-0.694, -2.472, -3.708], [5.890, 0.262, -4.020], [2.071, -6.697, 1.334]], "species": ["Mg", "Mg", "Mg", "Mg", "Pb", "Mg", "Mg", "Mg", "Mg"], "frac_coords": [[0.669, 0.000, 0.662], [0.664, 0.336, 0.336], [0.331, 0.338, 0.000], [0.000, 0.664, 0.336], [0.000, 0.000, 0.000], [0.000, 0.336, 0.664], [0.331, 0.000, 0.338], [0.669, 0.662, 0.000], [0.336, 0.664, 0.664]]}

***

{"formula": "NaTl2Sn2", "functional": "SCAN", "state": "PBEsol geometry", "delta_e_f_kj_per_mol_atoms": -3.11, "lattice": [[4.371, 0.000, 0.000], [0.000, 4.371, 0.000], [-2.185, -2.185, 7.860]], "species": ["Na", "Tl", "Tl", "Sn", "Sn"], "frac_coords": [[0.000, 0.000, 0.000], [0.397, 0.397, 0.795], [0.603, 0.603, 0.205], [0.250, 0.750, 0.500], [0.750, 0.250, 0.500]]}

***

{"formula": "AlPtBr2", "functional": "SCAN", "state": "PBEsol geometry", "e_form_raw_mev_per_atom": -256.4, "lattice": [[3.251, 0.084, 0.000], [-1.354, 2.957, 0.000], [0.000, 0.000, 8.810]], "species": ["Br", "Br", "Pt", "Al"], "frac_coords": [[0.500, 0.500, 0.693], [0.000, 0.000, 0.068], [0.000, 0.000, 0.459], [0.500, 0.500, 0.279]]}

***

{"formula": "TaCrSb2", "functional": "SCAN", "state": "PBEsol geometry", "e_form_raw_mev_per_atom": 610.3, "lattice": [[4.744, 0.000, 0.000], [2.372, 4.108, 0.000], [2.372, 1.369, 3.873]], "species": ["Sb", "Ta", "Cr", "Sb"], "frac_coords": [[0.000, 0.000, 0.000], [0.250, 0.250, 0.250], [0.500, 0.500, 0.500], [0.750, 0.750, 0.750]]}

***

{"formula": "CrSeBr2", "functional": "SCAN", "state": "PBEsol geometry", "e_form_raw_mev_per_atom": -74.9, "lattice": [[-0.611, 1.861, -2.240], [-2.833, -0.910, 0.017], [-2.131, 6.746, 6.189]], "species": ["Cr", "Br", "Br", "Se"], "frac_coords": [[0.000, 0.000, 0.509], [0.000, 0.000, 0.995], [0.500, 0.500, 0.336], [0.500, 0.500, 0.659]]}

***

{"formula": "LiAg2Pb", "functional": "SCAN", "state": "PBEsol geometry", "delta_e_f_kj_per_mol_atoms": -12.28, "lattice": [[-2.987, 3.069, 1.059], [2.007, -2.522, 3.778], [2.532, 3.103, -1.849]], "species": ["Pb", "Li", "Ag", "Ag"], "frac_coords": [[0.000, 0.000, 0.000], [0.500, 0.000, 0.500], [0.750, 0.500, 0.250], [0.250, 0.500, 0.750]]}

***

{"formula": "SrPSe", "functional": "SCAN", "state": "PBEsol geometry", "e_form_raw_mev_per_atom": -374.3, "lattice": [[-3.236, -0.032, -3.621], [-0.960, -4.133, -2.361], [-4.289, -2.197, 0.596]], "species": ["Se", "P", "Sr"], "frac_coords": [[0.750, 0.750, 0.750], [0.500, 0.500, 0.500], [0.000, 0.000, 0.000]]}

***

{"formula": "Sc4CdNi", "functional": "SCAN", "state": "PBEsol geometry", "delta_e_f_kj_per_mol_atoms": 42.17, "lattice": [[5.562, 0.000, 0.000], [2.781, 4.817, 0.000], [2.781, 1.606, 4.541]], "species": ["Ni", "Sc", "Sc", "Sc", "Cd", "Sc"], "frac_coords": [[0.000, 0.000, 0.000], [0.374, 0.374, 0.877], [0.374, 0.374, 0.374], [0.877, 0.374, 0.374], [0.750, 0.750, 0.750], [0.374, 0.877, 0.374]]}

***

{"formula": "LaZn2Co", "functional": "SCAN", "state": "PBEsol geometry", "delta_e_f_kj_per_mol_atoms": 34.46, "lattice": [[2.959, -0.033, 0.000], [1.266, 4.794, 0.000], [0.633, 2.397, 4.940]], "species": ["Zn", "Zn", "Co", "La"], "frac_coords": [[0.000, 0.500, 0.500], [0.000, 0.000, 0.500], [0.500, 0.000, 0.000], [0.500, 0.500, 0.000]]}

***

{"formula": "Sc2TcOs", "functional": "SCAN", "state": "PBEsol geometry", "delta_e_f_kj_per_mol_atoms": -37.44, "lattice": [[-0.078, 0.467, 3.090], [0.352, -4.382, 0.671], [4.593, 2.347, -1.820]], "species": ["Tc", "Os", "Sc", "Sc"], "frac_coords": [[0.515, 0.515, 0.029], [0.236, 0.736, 0.472], [0.988, 0.988, 0.976], [0.761, 0.261, 0.522]]}

***

{"formula": "RbAgS2Cl", "functional": "SCAN", "state": "PBEsol geometry", "e_form_raw_mev_per_atom": -351.5, "lattice": [[-0.010, 1.406, 4.581], [2.518, -3.896, 1.201], [4.513, 2.667, -0.809]], "species": ["S", "Rb", "S", "Ag", "Cl"], "frac_coords": [[0.000, 0.500, 0.000], [0.500, 0.500, 0.500], [0.500, 0.000, 0.000], [0.000, 0.000, 0.000], [0.000, 0.000, 0.500]]}

***

{"formula": "TcSF2", "functional": "SCAN", "state": "PBEsol geometry", "e_form_raw_mev_per_atom": -251.3, "lattice": [[-0.663, 1.704, -3.651], [-3.640, -0.396, -1.807], [-2.479, 3.228, -0.326]], "species": ["S", "F", "Tc", "F"], "frac_coords": [[0.000, 0.000, 0.000], [0.250, 0.250, 0.250], [0.500, 0.500, 0.500], [0.750, 0.750, 0.750]]}

***

{"formula": "ScIr2", "functional": "SCAN", "state": "PBEsol geometry", "delta_e_f_kj_per_mol_atoms": -30.99, "lattice": [[2.747, 0.000, 0.000], [0.000, 4.410, 0.000], [0.000, -2.205, 3.819]], "species": ["Ir", "Ir", "Sc"], "frac_coords": [[0.273, 0.667, 0.333], [0.727, 0.333, 0.667], [0.000, 0.000, 0.000]]}